Entry 1:
Computed, not measured: a geometry-optimized Sm2YHo5Sc structure at the PBE-GGA level of DFT.

Computed properties:
V, A^3/atom: 31.27
Electronic total energy, eV for the cell shown: -85.173
Formation energy from the elements, kJ/mol of formula units: 244.7
Space-group type: I4/mcm (140)

```
Sm2YHo5Sc
1.0
-5.623 4.028 -4.954
-3.308 -7.483 -2.330
-0.526 2.081 9.595
Sm Y Ho Sc
4 2 10 2
direct
0.119 0.381 0.000 Sm
0.619 0.119 0.000 Sm
0.381 0.881 0.000 Sm
0.881 0.619 0.000 Sm
0.250 0.250 0.500 Y
0.750 0.750 0.500 Y
0.934 0.434 0.283 Ho
0.650 0.150 0.717 Ho
0.066 0.566 0.717 Ho
0.150 0.066 0.717 Ho
0.566 0.650 0.717 Ho
0.850 0.934 0.283 Ho
0.434 0.350 0.283 Ho
0.350 0.850 0.283 Ho
0.500 0.500 0.000 Ho
0.000 0.000 0.000 Ho
0.250 0.750 0.500 Sc
0.750 0.250 0.500 Sc
```

=====

Entry 2:
Computed, not measured: a geometry-optimized Li2ZrZn2Au2 structure at the PBE-GGA level of DFT.

Computed properties:
V, A^3/atom: 16.90
Electronic total energy, eV for the cell shown: -24.092
Formation energy from the elements, kJ/mol of formula units: -252.1
Space-group type: C2/m (12)

```
Li2ZrZn2Au2
1.0
-2.988 2.615 -2.120
2.479 -2.946 -2.349
-5.381 -3.617 3.123
Li Zr Zn Au
2 1 2 2
direct
0.576 0.152 0.727 Li
0.424 0.848 0.273 Li
0.000 0.000 0.000 Zr
0.140 0.279 0.422 Zn
0.860 0.721 0.578 Zn
0.730 0.460 0.190 Au
0.270 0.540 0.810 Au
```

=====

Entry 3:
Computed, not measured: a geometry-optimized HoScTc structure at the PBE-GGA level of DFT.

Computed properties:
V, A^3/atom: 23.61
Electronic total energy, eV for the cell shown: -85.128
Formation energy from the elements, kJ/mol of formula units: -0.6
Distance to the lowest polymorph of the same formula, meV/atom: 123
Space-group type: Cmce (64)

```
HoScTc
1.0
6.301 0.000 0.000
-3.150 6.076 0.000
0.000 0.000 7.400
Tc Sc Ho
4 4 4
direct
0.599 0.198 0.533 Tc
0.901 0.802 0.033 Tc
0.401 0.802 0.467 Tc
0.099 0.198 0.967 Tc
0.299 0.098 0.250 Sc
0.201 0.902 0.750 Sc
0.701 0.902 0.750 Sc
0.799 0.098 0.250 Sc
0.808 0.617 0.388 Ho
0.692 0.383 0.888 Ho
0.192 0.383 0.612 Ho
0.308 0.617 0.112 Ho
```

=====

Entry 4:
Computed, not measured: a geometry-optimized InFePb3 structure at the PBE-GGA level of DFT.

Computed properties:
V, A^3/atom: 28.44
Electronic total energy, eV for the cell shown: -20.901
Formation energy from the elements, kJ/mol of formula units: 137.5
Distance to the lowest polymorph of the same formula, meV/atom: 0
Space-group type: Pm-3m (221)

```
InFePb3
1.0
5.219 0.000 0.000
0.000 5.219 0.000
0.000 0.000 5.219
Pb Fe In
3 1 1
direct
0.000 0.500 0.000 Pb
0.000 0.000 0.500 Pb
0.500 0.000 0.000 Pb
0.000 0.000 0.000 Fe
0.500 0.500 0.500 In
```